Entry 1:
VASP calculation (GGA-PBEsol) on a geometry-optimized ScBiO3 structure.

Computed properties:
Total DFT energy (no corrections) in eV for the cell shown: -154.62

a = 5.840 Å, b = 7.990 Å, c = 5.535 Å
α = 90.00°, β = 90.00°, γ = 90.00°
Space group Pnma (No. 62)
Asymmetric unit:
Sc: 0.000 0.000 0.000 (multiplicity 4)
Bi: 0.049 0.250 0.489 (multiplicity 4)
O: 0.038 0.750 0.114 (multiplicity 4)
O: 0.192 0.555 0.685 (multiplicity 8)


Entry 2:
VASP calculation (GGA-PBEsol) on a geometry-optimized Sc2BiO2 structure.

Computed properties:
Total DFT energy (no corrections) in eV for the cell shown: -81.99

a = 3.640 Å, b = 3.640 Å, c = 12.673 Å
α = 90.00°, β = 90.00°, γ = 90.00°
Space group I4/mmm (No. 139)
Asymmetric unit:
Sc: 0.000 0.000 0.172 (multiplicity 4)
Bi: 0.000 0.000 0.500 (multiplicity 2)
O: 0.000 0.500 0.250 (multiplicity 4)


Entry 3:
VASP calculation (GGA-PBEsol) on a geometry-optimized ScBiO3 structure.

Computed properties:
Total DFT energy (no corrections) in eV for the cell shown: -308.85

a = 9.804 Å, b = 5.765 Å, c = 10.021 Å
α = 90.00°, β = 108.38°, γ = 90.00°
Space group Cc (No. 9)
Asymmetric unit:
Sc: 0.000 0.240 0.000 (multiplicity 4)
Sc: 0.253 0.244 0.749 (multiplicity 4)
Bi: 0.130 0.191 0.368 (multiplicity 4)
Bi: 0.391 0.202 0.124 (multiplicity 4)
O: 0.088 0.011 0.165 (multiplicity 4)
O: 0.096 0.476 0.634 (multiplicity 4)
O: 0.172 0.184 0.922 (multiplicity 4)
O: 0.331 0.184 0.583 (multiplicity 4)
O: 0.377 0.066 0.329 (multiplicity 4)
O: 0.417 0.437 0.880 (multiplicity 4)


Entry 4:
VASP calculation (GGA-PBEsol) on a geometry-optimized Sr2ScBiO6 structure.

Computed properties:
Total DFT energy (no corrections) in eV for the cell shown: -281.16

a = 8.251 Å, b = 8.251 Å, c = 8.251 Å
α = 90.00°, β = 90.00°, γ = 90.00°
Space group Fm-3m (No. 225)
Asymmetric unit:
Sr: 0.250 0.250 0.250 (multiplicity 8)
Sc: 0.000 0.000 0.000 (multiplicity 4)
Bi: 0.000 0.000 0.500 (multiplicity 4)
O: 0.000 0.000 0.248 (multiplicity 24)


Entry 5:
VASP calculation (GGA-PBEsol) on a geometry-optimized Bi2SeO5 structure.

Computed properties:
Total DFT energy (no corrections) in eV for the cell shown: -383.30

a = 11.274 Å, b = 16.307 Å, c = 5.488 Å
α = 90.00°, β = 90.00°, γ = 90.00°
Space group Aem2 (No. 39)
Asymmetric unit:
Bi: 0.113 0.085 0.000 (multiplicity 8)
Bi: 0.115 0.250 0.526 (multiplicity 4)
Bi: 0.376 0.250 0.009 (multiplicity 4)
Se: 0.362 0.087 0.493 (multiplicity 8)
O: 0.000 0.000 0.273 (multiplicity 4)
O: 0.005 0.163 0.740 (multiplicity 8)
O: 0.200 0.250 0.902 (multiplicity 4)
O: 0.238 0.050 0.632 (multiplicity 8)
O: 0.294 0.157 0.297 (multiplicity 8)
O: 0.426 0.149 0.712 (multiplicity 8)


Entry 6:
VASP calculation (GGA-PBEsol) on a geometry-optimized TcBiSe2O structure.

Computed properties:
Total DFT energy (no corrections) in eV for the cell shown: -19.46

a = 5.426 Å, b = 5.426 Å, c = 5.367 Å
α = 90.00°, β = 90.00°, γ = 90.00°
Space group P4/mmm (No. 123)
Asymmetric unit:
Tc: 0.000 0.000 0.000 (multiplicity 1)
Bi: 0.000 0.000 0.500 (multiplicity 1)
Se: 0.000 0.500 0.500 (multiplicity 2)
O: 0.500 0.500 0.000 (multiplicity 1)


Entry 7:
VASP calculation (GGA-PBEsol) on a geometry-optimized Si3Bi4O12 structure.

Computed properties:
Total DFT energy (no corrections) in eV for the cell shown: -544.80

a = 10.258 Å, b = 10.258 Å, c = 10.258 Å
α = 90.00°, β = 90.00°, γ = 90.00°
Space group I-43d (No. 220)
Asymmetric unit:
Si: 0.000 0.250 0.375 (multiplicity 12)
Bi: 0.081 0.081 0.081 (multiplicity 16)
O: 0.039 0.120 0.689 (multiplicity 48)


Entry 8:
VASP calculation (GGA-PBEsol) on a geometry-optimized Si6Bi9O26 structure.

Computed properties:
Excess energy over the best structure of this formula in the dataset in meV per atom: 10
Total DFT energy (no corrections) in eV for the cell shown: -287.95

a = 9.5824 Å, b = 9.5824 Å, c = 7.0166 Å
α = 90.00°, β = 90.00°, γ = 120.00°
Space group P3 (No. 143)
Asymmetric unit:
Si: 0.0282 0.6254 0.0000 (multiplicity 3)
Si: 0.3937 0.0247 0.5135 (multiplicity 3)
Bi: 0.0018 0.7614 0.5018 (multiplicity 3)
Bi: 0.0125 0.2426 0.0050 (multiplicity 3)
Bi: 0.3333 0.6667 0.7316 (multiplicity 1)
Bi: 0.6667 0.3333 0.2543 (multiplicity 1)
Bi: 0.6667 0.3333 0.7637 (multiplicity 1)
O: 0.0000 0.0000 0.0044 (multiplicity 1)
O: 0.0000 0.0000 0.4995 (multiplicity 1)
O: 0.0775 0.7578 0.8246 (multiplicity 3)
O: 0.0836 0.7515 0.1806 (multiplicity 3)
O: 0.1190 0.5229 0.9602 (multiplicity 3)
O: 0.1697 0.4686 0.5206 (multiplicity 3)
O: 0.3427 0.1034 0.6922 (multiplicity 3)
O: 0.3504 0.0978 0.3231 (multiplicity 3)
O: 0.5029 0.3356 0.0116 (multiplicity 3)
O: 0.5232 0.4075 0.5175 (multiplicity 3)


Energy relative to the elements, uncorrected, record by record: -2.40; -2.60; -2.39; -2.42; -1.16; 1.81; -2.04; -1.91 eV/atom